Entry 1:
## La6Nd8Th (GGA-PBE)

Data for an optimized crystal structure of La6Nd8Th.

a = 8.9285 Å, b = 8.9285 Å, c = 8.9285 Å
α = 63.33°, β = 63.33°, γ = 63.33°
Sites, in units of the cell vectors:
Nd  0.7066  0.7651  0.1152
La  0.4616  0.7624  0.9056
Nd  0.4229  0.4229  0.4229
La  0.9056  0.4616  0.7624
La  0.0944  0.5384  0.2376
Nd  0.8848  0.2934  0.2349
Nd  0.1152  0.7066  0.7651
Nd  0.7651  0.1152  0.7066
Nd  0.2349  0.8848  0.2934
La  0.7624  0.9056  0.4616
Nd  0.2934  0.2349  0.8848
Th  0.0000  0.0000  0.0000
La  0.5384  0.2376  0.0944
Nd  0.5771  0.5771  0.5771
La  0.2376  0.0944  0.5384

- Total energy: -73.62 eV per cell
- Total moment: 0.00 μB per cell
- ΔH_f (0 K): 0.1005 eV per atom
- Calculated density: 6.8 g/cm3

***

Entry 2:
## La5Nd8Th (GGA-PBE)

Data for an optimized crystal structure of La5Nd8Th.

a = 8.7012 Å, b = 8.7015 Å, c = 8.7014 Å
α = 110.72°, β = 107.01°, γ = 110.72°
Sites, in units of the cell vectors:
Th  0.2500  0.5000  0.7500
Nd  0.7335  0.2582  0.3322
Nd  0.3310  0.2597  0.4357
La  0.8645  0.8958  0.1884
Nd  0.1759  0.7403  0.0712
La  0.2926  0.1042  0.9687
La  0.0313  0.3239  0.1355
Nd  0.0740  0.7418  0.4753
Nd  0.5643  0.8953  0.8241
Nd  0.5247  0.5987  0.2665
La  0.8116  0.6761  0.7074
Nd  0.9288  0.1047  0.6690
La  0.5000  0.0000  0.5000
Nd  0.6678  0.4013  0.9260

- Total energy: -66.70 eV per cell
- Total moment: 0.00 μB per cell
- ΔH_f (0 K): 0.2500 eV per atom
- Calculated density: 6.8 g/cm3

***

Entry 3:
## La2Nd3Th2 (GGA-PBE)

Data for an optimized crystal structure of La2Nd3Th2.

a = 3.4662 Å, b = 5.7397 Å, c = 23.5646 Å
α = 148.54°, β = 90.00°, γ = 90.00°
Sites, in units of the cell vectors:
Nd  0.0000  0.0131  0.5754
La  0.5000  0.0235  0.1500
Th  0.0000  0.0071  0.7161
Th  0.0000  0.9929  0.2839
La  0.5000  0.9765  0.8500
Nd  0.0000  0.9869  0.4246
Nd  0.0000  0.0000  0.0000

- Total energy: -37.63 eV per cell
- Total moment: 0.00 μB per cell
- ΔH_f (0 K): 0.1955 eV per atom
- Calculated density: 8.0 g/cm3

***

Entry 4:
## La8Nd6Th (GGA-PBE)

Data for an optimized crystal structure of La8Nd6Th.

a = 8.9163 Å, b = 8.9163 Å, c = 8.9163 Å
α = 63.53°, β = 63.53°, γ = 63.53°
Sites, in units of the cell vectors:
La  0.2438  0.8842  0.2876
Th  0.0000  0.0000  0.0000
La  0.2876  0.2438  0.8842
La  0.8842  0.2876  0.2438
Nd  0.4590  0.7563  0.9041
Nd  0.2437  0.0959  0.5410
Nd  0.5410  0.2437  0.0959
Nd  0.7563  0.9041  0.4590
La  0.7562  0.1158  0.7124
Nd  0.9041  0.4590  0.7563
La  0.5774  0.5774  0.5774
La  0.1158  0.7124  0.7562
La  0.7124  0.7562  0.1158
Nd  0.0959  0.5410  0.2437
La  0.4226  0.4226  0.4226

- Total energy: -73.97 eV per cell
- Total moment: 0.00 μB per cell
- ΔH_f (0 K): 0.0982 eV per atom
- Calculated density: 6.8 g/cm3

***

Entry 5:
## LaNd14Th (GGA-PBE)

Data for an optimized crystal structure of LaNd14Th.

a = 7.3467 Å, b = 7.3466 Å, c = 10.4458 Å
α = 90.00°, β = 90.00°, γ = 90.00°
Sites, in units of the cell vectors:
Th  0.8752  0.1248  0.0000
Nd  0.6288  0.8788  0.2484
Nd  0.8754  0.6252  0.5000
Nd  0.1210  0.8790  0.7517
Nd  0.6288  0.8788  0.7516
Nd  0.1212  0.3712  0.7516
Nd  0.1210  0.8790  0.2483
Nd  0.6289  0.3711  0.7516
Nd  0.3753  0.1255  0.0000
Nd  0.3754  0.6246  0.5000
Nd  0.3748  0.1246  0.5000
Nd  0.8749  0.1251  0.5000
La  0.3745  0.6255  0.0000
Nd  0.1212  0.3712  0.2484
Nd  0.8745  0.6247  0.0000
Nd  0.6289  0.3711  0.2484

- Total energy: -78.70 eV per cell
- Total moment: 0.00 μB per cell
- ΔH_f (0 K): 0.0249 eV per atom
- Calculated density: 7.0 g/cm3

***

Entry 6:
## La2NdTh4 (GGA-PBE)

Data for an optimized crystal structure of La2NdTh4.

a = 3.5971 Å, b = 3.5971 Å, c = 18.6066 Å
α = 90.00°, β = 95.55°, γ = 90.00°
Sites, in units of the cell vectors:
Th  0.3632  0.0000  0.7265
Th  0.9284  0.5000  0.8568
Th  0.0716  0.5000  0.1432
La  0.2041  0.5000  0.4082
La  0.7959  0.5000  0.5918
Nd  0.5000  0.0000  0.0000
Th  0.6368  0.0000  0.2735

- Total energy: -43.86 eV per cell
- Total moment: 0.00 μB per cell
- ΔH_f (0 K): 0.0635 eV per atom
- Calculated density: 9.4 g/cm3

***

Entry 7:
## La5Nd12Th2 (GGA-PBE)

Data for an optimized crystal structure of La5Nd12Th2.

a = 7.2030 Å, b = 8.8674 Å, c = 11.9735 Å
α = 109.28°, β = 107.50°, γ = 90.00°
Sites, in units of the cell vectors:
Nd  0.3637  0.3828  0.2136
La  0.6500  0.0954  0.3000
Nd  0.6363  0.6172  0.7864
Th  0.2521  0.0000  0.0000
Nd  0.4545  0.7924  0.4019
Nd  0.8633  0.9545  0.7266
Nd  0.4538  0.2970  0.9076
La  0.0000  0.5000  0.0000
Nd  0.5455  0.2076  0.5981
Nd  0.8500  0.3828  0.2136
Nd  0.9474  0.7924  0.4019
Nd  0.5462  0.7030  0.0924
La  0.2476  0.4910  0.4953
Nd  0.0526  0.2076  0.5981
Nd  0.1367  0.0455  0.2734
Nd  0.1500  0.6172  0.7864
La  0.7524  0.5090  0.5047
Th  0.7479  0.0000  0.0000
La  0.3500  0.9046  0.7000

- Energy above the most stable polymorph in this dataset: 0.0 meV/atom
- Total energy: -93.96 eV per cell
- Total moment: 0.00 μB per cell
- ΔH_f (0 K): 0.1437 eV per atom
- Calculated density: 7.0 g/cm3

***

Entry 8:
## La5Nd5Th2 (GGA-PBE)

Data for an optimized crystal structure of La5Nd5Th2.

a = 6.3752 Å, b = 8.2306 Å, c = 11.0874 Å
α = 98.48°, β = 54.53°, γ = 75.07°
Sites, in units of the cell vectors:
Nd  0.6629  0.0078  0.6687
Nd  0.0000  0.5000  0.5000
Nd  0.3303  0.2581  0.0826
Th  0.3216  0.4990  0.8373
La  0.6602  0.2618  0.4200
Nd  0.6697  0.7419  0.9174
Nd  0.3371  0.9922  0.3313
Th  0.6784  0.5010  0.1627
La  0.3398  0.7382  0.5800
La  0.9886  0.2628  0.7582
La  0.0114  0.7372  0.2418
La  0.0000  0.0000  0.0000

- Total energy: -62.87 eV per cell
- Total moment: 0.00 μB per cell
- ΔH_f (0 K): 0.0375 eV per atom
- Calculated density: 7.4 g/cm3

***

- ΔH_f (0 K) of number 2 (La5Nd8Th)?
  0.2500 eV per atom